# 1
! MgAg2W, optimized geometry, DFT PBE; values from VASP
&SYSTEM
  ibrav = 0, nat = 4, ntyp = 3
/
ATOMIC_SPECIES
W 183.84 W.upf
Mg 24.30 Mg.upf
Ag 107.87 Ag.upf
ATOMIC_POSITIONS crystal
W 0.500 0.000 0.500
Mg 0.500 0.500 0.000
Ag 0.000 0.000 0.000
Ag 0.000 0.500 0.500
CELL_PARAMETERS angstrom
3.915 0.000 0.000
0.000 4.228 0.000
0.000 0.000 4.228
! Symmetry ... P4/mmm
! Calculated volume ... 17.50 Å³ per atom
! Formation energy ... 63.5 kJ/mol of atoms
! Calculated density ... 10.05 g/cm³
! Size of the total moment ... 0.30 μB per atom

# 2
! CoHg2I, optimized geometry, DFT PBE; values from VASP
&SYSTEM
  ibrav = 0, nat = 8, ntyp = 3
/
ATOMIC_SPECIES
Hg 200.59 Hg.upf
Co 58.93 Co.upf
I 126.90 I.upf
ATOMIC_POSITIONS crystal
Hg 0.189 0.625 0.250
Co 0.500 0.500 0.000
I 0.000 0.000 0.000
Hg 0.375 0.439 0.750
Co 0.250 0.750 0.500
I 0.750 0.250 0.500
Hg 0.875 0.811 0.750
Hg 0.561 0.125 0.250
CELL_PARAMETERS angstrom
-2.591 6.996 0.088
-6.516 -2.447 2.688
-2.989 2.800 5.658
! Symmetry ... I-42d
! Offset from the most stable computed form ... 0 meV/atom
! Calculated volume ... 31.85 Å³ per atom
! Calculated density ... 7.65 g/cm³
! Size of the total moment ... 0.51 μB per atom

# 3
! RbSnB, optimized geometry, DFT PBE; values from VASP
&SYSTEM
  ibrav = 0, nat = 6, ntyp = 3
/
ATOMIC_SPECIES
Rb 85.47 Rb.upf
Sn 118.71 Sn.upf
B 10.81 B.upf
ATOMIC_POSITIONS crystal
Rb 0.000 0.000 0.000
Sn 0.333 0.667 0.250
Rb 0.000 0.000 0.500
B 0.333 0.667 0.750
Sn 0.667 0.333 0.750
B 0.667 0.333 0.250
CELL_PARAMETERS angstrom
3.439 -1.986 0.000
0.000 3.971 0.000
0.000 0.000 11.783
! Symmetry ... P6_3/mmc
! Calculated volume ... 26.82 Å³ per atom
! Formation energy ... 33.6 kJ/mol of atoms
! Calculated density ... 4.44 g/cm³
! Size of the total moment ... 0.00 μB per atom